Entry from OQMD via LeMat-Bulk: crystalline Ho2Ga at its relaxed geometry (PBE).

Summary:
Space-group type   No. 227
Electronic total energy   -2.828 eV per atom

Cell lengths 8.7686, 8.7686, 8.7686 Å; angles 60.00, 60.00, 60.00 degrees
Fractional coordinates of all 6 atoms:
1 Ga 0.2500 0.2500 0.2500
2 Ga 0.5000 0.5000 0.5000
3 Ho 0.8750 0.3750 0.3750
4 Ho 0.3750 0.8750 0.3750
5 Ho 0.3750 0.3750 0.3750
6 Ho 0.3750 0.3750 0.8750

Entry from OQMD via LeMat-Bulk: crystalline HoGa3 at its relaxed geometry (PBE).

Summary:
Space-group type   No. 194
Electronic total energy   -3.939 eV per atom

Cell lengths 6.1383, 6.1383, 14.1775 Å; angles 90.00, 90.00, 120.00 degrees
Fractional coordinates of all 24 atoms:
1 Ga 0.3349 0.1674 0.0809
2 Ga 0.8326 0.1674 0.0809
3 Ga 0.8326 0.6651 0.0809
4 Ga 0.5212 0.0424 0.2500
5 Ga 0.5212 0.4788 0.2500
6 Ga 0.9576 0.4788 0.2500
7 Ga 0.8326 0.6651 0.4191
8 Ga 0.3349 0.1674 0.4191
9 Ga 0.8326 0.1674 0.4191
10 Ga 0.1674 0.8326 0.5809
11 Ga 0.6651 0.8326 0.5809
12 Ga 0.1674 0.3349 0.5809
13 Ga 0.0424 0.5212 0.7500
14 Ga 0.4788 0.5212 0.7500
15 Ga 0.4788 0.9576 0.7500
16 Ga 0.1674 0.3349 0.9191
17 Ga 0.1674 0.8326 0.9191
18 Ga 0.6651 0.8326 0.9191
19 Ho 0.3333 0.6666 0.0924
20 Ho 0.0000 0.0000 0.2500
21 Ho 0.3333 0.6666 0.4076
22 Ho 0.6667 0.3334 0.5924
23 Ho 0.0000 0.0000 0.7500
24 Ho 0.6667 0.3334 0.9076